No. 1
{"formula": "Sm3Be2Co7", "functional": "PBE", "state": "optimized geometry", "lattice": [[-2.429, -0.304, 4.392], [1.139, -3.659, 3.255], [4.924, 3.262, 5.827]], "species": ["Sm", "Co", "Co", "Co", "Sm", "Co", "Sm", "Co", "Co", "Be", "Co", "Be"], "frac_coords": [[0.860, 0.860, 0.421], [0.575, 0.575, 0.771], [0.922, 0.425, 0.229], [0.425, 0.922, 0.229], [0.140, 0.140, 0.579], [0.500, 0.500, 0.500], [0.000, 0.000, 0.000], [0.078, 0.575, 0.771], [0.575, 0.078, 0.771], [0.667, 0.667, 0.000], [0.425, 0.425, 0.229], [0.333, 0.333, 0.000]], "ef_ev_per_atom": -0.16, "e_tot_ev_per_atom": -6.105}

=====

No. 2
{"formula": "CoTe2P", "functional": "PBE", "state": "optimized geometry", "lattice": [[3.044, 0.000, 0.000], [0.000, 3.044, 0.000], [0.000, 0.000, 9.701]], "species": ["Te", "Co", "Te", "P"], "frac_coords": [[0.500, 0.500, 0.315], [0.000, 0.000, 0.664], [0.000, 0.000, 0.930], [0.500, 0.500, 0.591]], "e_tot_ev_per_atom": -4.733, "e_form_raw_ev_per_atom": -0.034}

=====

No. 3
{"formula": "Cs2Sr3SmF12", "functional": "PBE", "state": "optimized geometry", "lattice": [[8.805, 0.155, 0.110], [4.483, 7.580, 0.110], [4.483, 2.610, 7.117]], "species": ["Sr", "F", "Sr", "Cs", "F", "Sm", "F", "F", "Cs", "F", "F", "F", "Sr", "F", "F", "F", "F", "F"], "frac_coords": [[0.500, 0.000, 0.000], [0.938, 0.305, 0.938], [0.000, 0.500, 0.000], [0.403, 0.403, 0.403], [0.341, 0.905, 0.341], [0.000, 0.000, 0.000], [0.062, 0.062, 0.695], [0.095, 0.659, 0.659], [0.597, 0.597, 0.597], [0.695, 0.062, 0.062], [0.341, 0.341, 0.905], [0.305, 0.938, 0.938], [0.000, 0.000, 0.500], [0.659, 0.095, 0.659], [0.062, 0.695, 0.062], [0.659, 0.659, 0.095], [0.905, 0.341, 0.341], [0.938, 0.938, 0.305]], "e_tot_ev_per_atom": -5.278, "e_form_raw_ev_per_atom": -3.393}

=====

No. 4
{"formula": "Rb2HPdPb", "functional": "PBE", "state": "optimized geometry", "lattice": [[-1.012, 1.472, -4.901], [1.648, -4.507, -1.694], [-4.830, -1.923, 0.420]], "species": ["Rb", "Pd", "Rb", "Pb", "H"], "frac_coords": [[0.000, 0.000, 0.500], [0.500, 0.500, 0.500], [0.500, 0.000, 0.000], [0.000, 0.500, 0.000], [0.000, 0.000, 0.000]], "e_tot_ev_per_atom": -2.633}

=====

No. 5
{"formula": "TaMn2Cl", "functional": "PBE", "state": "optimized geometry", "lattice": [[-2.223, 3.441, 2.308], [-4.413, -0.207, -1.612], [2.634, -3.474, 1.762]], "species": ["Ta", "Mn", "Cl", "Mn"], "frac_coords": [[0.500, 0.500, 0.000], [0.000, 0.000, 0.000], [0.750, 0.250, 0.500], [0.250, 0.750, 0.500]], "e_tot_ev_per_atom": -7.339, "e_form_raw_ev_per_atom": 0.671, "de_polymorph_ev_per_atom": 0.640}

=====

No. 6
{"formula": "SmZrBi3", "functional": "PBE", "state": "optimized geometry", "lattice": [[6.554, 0.000, 0.000], [0.000, 6.641, 0.000], [0.000, 0.000, 13.640]], "species": ["Bi", "Bi", "Sm", "Bi", "Bi", "Zr", "Bi", "Zr", "Bi", "Bi", "Bi", "Sm", "Sm", "Bi", "Bi", "Zr", "Zr", "Bi", "Bi", "Sm"], "frac_coords": [[0.500, 0.750, 0.504], [0.250, 0.625, 0.080], [0.250, 0.514, 0.318], [0.000, 0.250, 0.496], [0.750, 0.492, 0.245], [0.500, 0.250, 0.095], [0.750, 0.375, 0.920], [0.000, 0.250, 0.095], [0.750, 0.992, 0.755], [0.250, 0.125, 0.920], [0.000, 0.750, 0.504], [0.750, 0.486, 0.682], [0.250, 0.014, 0.682], [0.250, 0.508, 0.755], [0.500, 0.250, 0.496], [0.000, 0.750, 0.905], [0.500, 0.750, 0.905], [0.250, 0.008, 0.245], [0.750, 0.875, 0.080], [0.750, 0.986, 0.318]], "ef_ev_per_atom": -0.51, "e_tot_ev_per_atom": -5.493}

=====

No. 7
{"formula": "PuTl2Cl3O3", "functional": "PBE", "state": "optimized geometry", "lattice": [[3.304, 0.000, 0.000], [0.000, 8.223, 0.000], [0.000, -4.111, 7.121]], "species": ["Tl", "O", "Pu", "Cl", "O", "Cl", "Cl", "Tl", "O"], "frac_coords": [[0.500, 0.333, 0.667], [0.500, 0.828, 0.000], [0.000, 0.000, 0.000], [0.000, 0.000, 0.381], [0.500, 0.000, 0.828], [0.000, 0.619, 0.619], [0.000, 0.381, 0.000], [0.500, 0.667, 0.333], [0.500, 0.172, 0.172]], "e_tot_ev_per_atom": -5.621, "e_form_raw_ev_per_atom": -1.234}

=====

No. 8
{"formula": "KHfS2O8", "functional": "PBE", "state": "optimized geometry", "lattice": [[-5.229, 0.736, 0.610], [1.904, -1.859, -4.602], [-0.729, -7.404, 2.690]], "species": ["Hf", "O", "O", "S", "S", "O", "K", "O", "O", "O", "O", "O"], "frac_coords": [[0.000, 0.000, 0.000], [0.333, 0.667, 0.584], [0.180, 0.361, 0.833], [0.667, 0.333, 0.233], [0.333, 0.667, 0.767], [0.639, 0.820, 0.833], [0.000, 0.000, 0.500], [0.180, 0.820, 0.833], [0.820, 0.639, 0.167], [0.667, 0.333, 0.416], [0.361, 0.180, 0.167], [0.820, 0.180, 0.167]], "e_tot_ev_per_atom": -6.735, "e_form_raw_ev_per_atom": -1.821}